# 1
Density functional theory data (PBE-GGA) for crystalline MgZn2Sb at its relaxed geometry.

Lattice parameters (Å, degrees): 4.2439 4.2439 4.4448 90.00 90.00 90.00
Sites, in units of the cell vectors:
Mg 0.0000 0.0000 0.0000
Zn 0.0000 0.5000 0.5000
Zn 0.5000 0.0000 0.5000
Sb 0.5000 0.5000 0.0000

Summary:
The value obtained for the density of states at the Fermi level is 0.8 states/eV/f.u. As for the total magnetic moment: 0.000 μB/cell. The space group is P4/mmm. The calculation puts the uncorrected formation energy at 0.001 eV/atom.



# 2
Density functional theory data (PBE-GGA) for crystalline SrCdTe2 at its relaxed geometry.

Lattice parameters (Å, degrees): 4.0967 5.4305 5.4500 90.00 90.00 90.00
Sites, in units of the cell vectors:
Sr 0.0000 0.0000 0.0000
Cd 0.0000 0.5000 0.5000
Te 0.5000 0.0000 0.5000
Te 0.5000 0.5000 0.0000

Summary:
The value obtained for the density of states at the Fermi level is 3.0 states/eV/f.u. As for the total magnetic moment: 0.000 μB/cell. The space group is Pmmm. The calculation puts the uncorrected formation energy at -0.740 eV/atom.



# 3
Density functional theory data (PBE-GGA) for crystalline Ce4Bi2Sb3 at its relaxed geometry.

Lattice parameters (Å, degrees): 9.0122 9.0122 8.8028 90.00 90.00 122.97
Sites, in units of the cell vectors:
Ce 0.2047 0.7953 0.9757
Ce 0.2195 0.2805 0.7500
Ce 0.2805 0.2195 0.2500
Ce 0.2953 0.7047 0.4757
Ce 0.7047 0.2953 0.5243
Ce 0.7195 0.7805 0.7500
Ce 0.7805 0.7195 0.2500
Ce 0.7953 0.2047 0.0243
Bi 0.0903 0.9097 0.5619
Bi 0.4097 0.5903 0.0619
Bi 0.5903 0.4097 0.9381
Bi 0.9097 0.0903 0.4381
Sb 0.0000 0.0000 0.0000
Sb 0.0211 0.4789 0.7500
Sb 0.4789 0.0211 0.2500
Sb 0.5000 0.5000 0.5000
Sb 0.5211 0.9789 0.7500
Sb 0.9789 0.5211 0.2500

Summary:
The value obtained for the density of states at the Fermi level is 24.0 states/eV/f.u. As for the total magnetic moment: 5.944 μB/cell. The space group is Cmce. The calculation puts the uncorrected formation energy at -0.698 eV/atom.